# ScRuI2O

ScRuI2O after structural relaxation (PBE, Alexandria via LeMat-Bulk).

Cell and atoms, written as CIF:
```
data_ScRuI2O
_cell_length_a 5.601
_cell_length_b 5.601
_cell_length_c 3.733
_cell_angle_alpha 90.00
_cell_angle_beta 90.00
_cell_angle_gamma 90.00
_space_group_name_H-M_alt 'P 4/m m m'
_space_group_IT_number 123
_space_group_name_Hall '-P 4 2'
loop_
_atom_site_label
_atom_site_fract_x
_atom_site_fract_y
_atom_site_fract_z
Sc1 0.000 0.000 0.000
Ru1 0.500 0.500 0.500
I1 0.000 0.500 0.500
O1 0.500 0.500 0.000
```

Summary:
offset from the most stable computed form = 0.184 eV/atom


# CrGaIr

CrGaIr after structural relaxation (PBE, Alexandria via LeMat-Bulk).

Cell and atoms, written as CIF:
```
data_CrGaIr
_cell_length_a 5.311
_cell_length_b 7.053
_cell_length_c 5.195
_cell_angle_alpha 90.00
_cell_angle_beta 104.55
_cell_angle_gamma 90.00
_space_group_name_H-M_alt 'C 1 2/m 1'
_space_group_IT_number 12
_space_group_name_Hall '-C 2y'
loop_
_atom_site_label
_atom_site_fract_x
_atom_site_fract_y
_atom_site_fract_z
Cr1 0.177 0.000 0.245
Ga1 0.184 0.500 0.201
Ir1 0.000 0.252 0.500
```

Summary:
calculated formation energy = 0.16 eV/f.u.